No. 1
Material: Np2SnAs4
Method: DFT, PBE
State: relaxed

Cell lengths 3.927, 3.927, 10.668 Å; angles 90.00, 90.00, 90.00 degrees
Space group P-4m2 (No. 115)
Inequivalent atoms, fractional coordinates:
Np: 0.000 0.500 0.214
Sn: 0.000 0.000 0.500
As: 0.000 0.000 0.000
As: 0.000 0.500 0.709
As: 0.500 0.500 0.000

Calculated values
* crystal system: tetragonal
* ΔE_f: -384 meV per atom
* energy: -7.310 eV per atom



No. 2
Material: LaY
Method: DFT, PBE
State: relaxed

Cell lengths 6.533, 6.533, 6.726 Å; angles 90.00, 90.00, 90.00 degrees
Space group P4_2/mnm (No. 136)
Inequivalent atoms, fractional coordinates:
La: 0.172 0.172 0.000
Y: 0.176 0.176 0.500

Calculated values
* crystal system: tetragonal
* ΔE_f: 423 meV per atom
* energy: -5.273 eV per atom
* energy relative to the lowest polymorph listed for this composition: 0.419 eV per atom



No. 3
Material: BaLaTi2Se
Method: DFT, PBE
State: relaxed

Cell lengths 4.814, 4.814, 7.040 Å; angles 90.00, 90.00, 90.00 degrees
Space group P4/mmm (No. 123)
Inequivalent atoms, fractional coordinates:
Ba: 0.000 0.000 0.000
La: 0.000 0.000 0.500
Ti: 0.000 0.500 0.500
Se: 0.500 0.500 0.000

Calculated values
* crystal system: tetragonal
* formation energy without anion corrections: 853 meV per atom
* energy: -4.372 eV per atom